Entry 1:
# Nd2Si5Ni

Nd2Si5Ni after structural relaxation (GGA-PBE, the Alexandria database).

Output
Total DFT energy (no corrections), eV per atom: -5.735
Space group: I4mm (107)
Uncorrected formation energy, eV/atom: -0.43
Total magnetization, μB per atom: 0.000
D(E_F), states/eV/cell: 4.20

Lattice parameters (Å, degrees): 5.6523 5.6523 9.7425 90.00 90.00 90.00
Last column: nearest neighbours and their distance in Å.
Fractional positions:
Nd 0.0000 0.5000 0.0000  10 Si 2.94-3.22
Nd 0.0000 0.5000 0.5000  10 Si 2.94-3.22
Nd 0.5000 0.0000 0.0000  10 Si 2.94-3.22
Nd 0.5000 0.0000 0.5000  10 Si 2.94-3.22
Si 0.0000 0.0000 0.4182  4 Si 2.48
Si 0.2241 0.2241 0.2414  1 Ni 2.30, 3 Si 2.48-2.53
Si 0.2241 0.7759 0.2414  1 Ni 2.30, 3 Si 2.48-2.53
Si 0.2759 0.2759 0.7414  1 Ni 2.30, 3 Si 2.48-2.53
Si 0.2759 0.7241 0.7414  1 Ni 2.30, 3 Si 2.48-2.53
Si 0.5000 0.5000 0.9182  4 Si 2.48
Si 0.7241 0.2759 0.7414  1 Ni 2.30, 3 Si 2.48-2.53
Si 0.7241 0.7241 0.7414  1 Ni 2.30, 3 Si 2.48-2.53
Si 0.7759 0.2241 0.2414  1 Ni 2.30, 3 Si 2.48-2.53
Si 0.7759 0.7759 0.2414  1 Ni 2.30, 3 Si 2.48-2.53
Ni 0.0000 0.0000 0.8076  4 Si 2.30
Ni 0.5000 0.5000 0.3076  4 Si 2.30

=====

Entry 2:
# Nd2Ni6P3

Nd2Ni6P3 after structural relaxation (GGA-PBE, the Alexandria database).

Output
Total DFT energy (no corrections), eV per atom: -6.276
Space group: P-62m (189)
Energy of formation from the pure elements, eV per atom: -0.78
Total magnetization, μB per atom: 0.000
D(E_F), states/eV/cell: 5.22

Lattice parameters (Å, degrees): 6.9377 6.9377 3.9306 90.00 90.00 120.00
Last column: nearest neighbours and their distance in Å.
Fractional positions:
Nd 0.3333 0.6667 0.0000  9 Ni 2.90-3.13, 6 P 2.98
Nd 0.6667 0.3333 0.0000  9 Ni 2.90-3.13, 6 P 2.98
Ni 0.0000 0.3000 0.5000  3 P 2.30-2.39
Ni 0.0000 0.8023 0.0000  2 P 2.25, 2 Ni 2.38
Ni 0.1977 0.1977 0.0000  2 P 2.25, 2 Ni 2.38
Ni 0.3000 0.0000 0.5000  3 P 2.30-2.39
Ni 0.7000 0.7000 0.5000  3 P 2.30-2.39
Ni 0.8023 0.0000 0.0000  2 P 2.25, 2 Ni 2.38
P 0.0000 0.6441 0.5000  5 Ni 2.25-2.39
P 0.3559 0.3559 0.5000  5 Ni 2.25-2.39
P 0.6441 0.0000 0.5000  5 Ni 2.25-2.39